No. 1
Material: NbSn2Rh
Method: DFT, meta-GGA SCAN
State: PBEsol geometry

## Properties
ΔE_f in meV per atom: -11

a = 6.604 Å, b = 6.604 Å, c = 6.604 Å
α = 90.00°, β = 90.00°, γ = 90.00°
Space group Fm-3m (No. 225)
Asymmetric unit:
Nb  0.000  0.000  0.000 (multiplicity 4)
Sn  0.250  0.250  0.250 (multiplicity 8)
Rh  0.000  0.000  0.500 (multiplicity 4)



No. 2
Material: Cs3PtS
Method: DFT, meta-GGA SCAN
State: PBEsol geometry

## Properties
Formation energy (no corrections) in meV/atom: -165

a = 5.982 Å, b = 5.982 Å, c = 5.982 Å
α = 90.00°, β = 90.00°, γ = 90.00°
Space group Pm-3m (No. 221)
Asymmetric unit:
Cs  0.000  0.000  0.500 (multiplicity 3)
Pt  0.000  0.000  0.000 (multiplicity 1)
S  0.500  0.500  0.500 (multiplicity 1)



No. 3
Material: TlCd2PdS
Method: DFT, meta-GGA SCAN
State: PBEsol geometry

## Properties
Formation energy (no corrections) in meV/atom: 903

a = 5.375 Å, b = 5.375 Å, c = 5.006 Å
α = 90.00°, β = 90.00°, γ = 90.00°
Space group P4/mmm (No. 123)
Asymmetric unit:
Tl  0.000  0.000  0.000 (multiplicity 1)
Cd  0.000  0.500  0.000 (multiplicity 2)
Pd  0.500  0.500  0.500 (multiplicity 1)
S  0.000  0.000  0.500 (multiplicity 1)



No. 4
Material: In2TcTe
Method: DFT, meta-GGA SCAN
State: PBEsol geometry

## Properties
Formation energy (no corrections) in meV/atom: 243

a = 4.458 Å, b = 3.697 Å, c = 10.389 Å
α = 90.00°, β = 90.00°, γ = 90.00°
Space group Amm2 (No. 38)
Asymmetric unit:
In  0.000  0.000  0.000 (multiplicity 2)
In  0.500  0.000  0.314 (multiplicity 2)
Tc  0.500  0.000  0.584 (multiplicity 2)
Te  0.000  0.000  0.723 (multiplicity 2)



Calculated values (states/eV per cell) of N(E_F) for the records, taken in order: 12.76, 8.54, 3.90, 4.57.